Density functional theory data (PBE) for crystalline La2Pr3NdHo6 at its relaxed geometry.

The structure in POSCAR format:
```
La2Pr3NdHo6
1.0
6.301 -0.001 0.008
-3.149 5.457 0.008
-1.065 -1.843 11.664
La Pr Nd Ho
2 3 1 6
Cartesian
0.002 3.637 0.008
3.149 1.820 0.008
-2.107 3.626 5.840
4.194 -0.013 5.840
1.043 1.807 5.840
0.000 0.000 0.000
3.137 1.802 8.753
2.101 3.637 2.937
-1.050 1.811 2.927
-0.007 3.618 8.753
-0.014 -0.024 8.744
2.094 -0.005 2.927
```

total DFT energy (no corrections) = -4.6896 eV per atom
total magnetization = 0.00 μB per cell